Density functional theory data (GGA-PBE) for an optimized crystal structure of Ag3ClO2.

Cell: 7.1267 7.1267 4.9915 Å, 90.00 90.00 64.26°
Sites, in units of the cell vectors:
1 Ag 0.1436 0.3298 0.7500
2 Ag 0.1844 0.8156 0.7500
3 Ag 0.3298 0.1436 0.2500
4 Ag 0.6702 0.8564 0.7500
5 Ag 0.8156 0.1844 0.2500
6 Ag 0.8564 0.6702 0.2500
7 Cl 0.2360 0.7640 0.2500
8 Cl 0.7640 0.2360 0.7500
9 O 0.0069 0.3425 0.2500
10 O 0.3425 0.0069 0.7500
11 O 0.6575 0.9931 0.2500
12 O 0.9931 0.6575 0.7500

Output
- Total magnetic moment: 0.0 μB per formula unit
- Formation energy from raw total energies: -0.07 eV/atom
- ρ: 5.7 g cm⁻³



Density functional theory data (GGA-PBE) for an optimized crystal structure of Ag8ClO5.

Cell: 6.9928 6.9928 6.9928 Å, 60.00 60.00 60.00°
Sites, in units of the cell vectors:
1 Ag 0.1047 0.1047 0.1047
2 Ag 0.1047 0.1047 0.6860
3 Ag 0.1047 0.6860 0.1047
4 Ag 0.1146 0.6285 0.6285
5 Ag 0.6285 0.1146 0.6285
6 Ag 0.6285 0.6285 0.1146
7 Ag 0.6285 0.6285 0.6285
8 Ag 0.6860 0.1047 0.1047
9 Cl 0.2500 0.2500 0.2500
10 O 0.3984 0.8672 0.8672
11 O 0.5000 0.5000 0.5000
12 O 0.8672 0.3984 0.8672
13 O 0.8672 0.8672 0.3984
14 O 0.8672 0.8672 0.8672

Output
- Total magnetic moment: 0.0 μB per formula unit
- Formation energy from raw total energies: 0.11 eV/atom
- ρ: 6.7 g cm⁻³



Density functional theory data (GGA-PBE) for an optimized crystal structure of Ag7Cl2O2.

Cell: 5.8554 5.8554 7.7978 Å, 104.15 104.15 109.44°
Sites, in units of the cell vectors:
1 Ag 0.0000 0.0000 0.0000
2 Ag 0.0571 0.5128 0.8357
3 Ag 0.4675 0.4675 0.2282
4 Ag 0.4872 0.9429 0.1643
5 Ag 0.5128 0.0571 0.8357
6 Ag 0.5325 0.5325 0.7718
7 Ag 0.9429 0.4872 0.1643
8 Cl 0.3157 0.6843 0.5000
9 Cl 0.6843 0.3157 0.5000
10 O 0.2463 0.2463 0.9010
11 O 0.7537 0.7537 0.0990

Output
- Total magnetic moment: 0.0 μB per formula unit
- Formation energy from raw total energies: -0.06 eV/atom
- ρ: 6.2 g cm⁻³



Density functional theory data (GGA-PBE) for an optimized crystal structure of Ag2ClO.

Cell: 6.4362 6.4362 6.4362 Å, 32.36 32.36 32.36°
Sites, in units of the cell vectors:
1 Ag 0.2328 0.2328 0.2328
2 Ag 0.7672 0.7672 0.7672
3 Cl 0.0000 0.0000 0.0000
4 O 0.5000 0.5000 0.5000

Output
- Total magnetic moment: 0.8 μB per formula unit
- Formation energy from raw total energies: -0.09 eV/atom
- ρ: 6.5 g cm⁻³
- Energy relative to the lowest polymorph listed for this composition: 25 meV per atom



Density functional theory data (GGA-PBE) for an optimized crystal structure of Ag4ClO.

Cell: 8.6051 8.6051 5.4626 Å, 108.35 108.35 38.21°
Sites, in units of the cell vectors:
1 Ag 0.0182 0.2363 0.0694
2 Ag 0.1986 0.4298 0.4338
3 Ag 0.2363 0.0182 0.5694
4 Ag 0.4298 0.1986 0.9338
5 Ag 0.5702 0.8014 0.0662
6 Ag 0.7637 0.9818 0.4306
7 Ag 0.8014 0.5702 0.5662
8 Ag 0.9818 0.7637 0.9306
9 Cl 0.2295 0.7705 0.7500
10 Cl 0.7705 0.2295 0.2500
11 O 0.0000 0.5000 0.0000
12 O 0.5000 0.0000 0.5000

Output
- Total magnetic moment: 0.0 μB per formula unit
- Formation energy from raw total energies: -0.02 eV/atom
- ρ: 6.8 g cm⁻³



Density functional theory data (GGA-PBE) for an optimized crystal structure of Ag12Cl3O5.

Cell: 12.6856 12.6856 12.6856 Å, 109.47 109.47 109.47°
Sites, in units of the cell vectors:
1 Ag 0.0057 0.1925 0.0858
2 Ag 0.0057 0.3132 0.9199
3 Ag 0.0801 0.5858 0.3933
4 Ag 0.0801 0.9943 0.6868
5 Ag 0.0858 0.0057 0.1925
6 Ag 0.0858 0.5801 0.8933
7 Ag 0.1067 0.6925 0.6868
8 Ag 0.1067 0.9142 0.4199
9 Ag 0.1868 0.1925 0.6067
10 Ag 0.1868 0.4943 0.5801
11 Ag 0.1925 0.0858 0.0057
12 Ag 0.1925 0.6067 0.1868
13 Ag 0.3075 0.3132 0.8933
14 Ag 0.3075 0.4943 0.4142
15 Ag 0.3132 0.8933 0.3075
16 Ag 0.3132 0.9199 0.0057
17 Ag 0.3933 0.0801 0.5858
18 Ag 0.3933 0.8132 0.8075
19 Ag 0.4142 0.3075 0.4943
20 Ag 0.4142 0.6067 0.9199
21 Ag 0.4199 0.1067 0.9142
22 Ag 0.4199 0.8132 0.5057
23 Ag 0.4943 0.4142 0.3075
24 Ag 0.4943 0.5801 0.1868
25 Ag 0.5057 0.4199 0.8132
26 Ag 0.5057 0.5858 0.6925
27 Ag 0.5801 0.1868 0.4943
28 Ag 0.5801 0.8933 0.0858
29 Ag 0.5858 0.3933 0.0801
30 Ag 0.5858 0.6925 0.5057
31 Ag 0.6067 0.1868 0.1925
32 Ag 0.6067 0.9199 0.4142
33 Ag 0.6868 0.0801 0.9943
34 Ag 0.6868 0.1067 0.6925
35 Ag 0.6925 0.5057 0.5858
36 Ag 0.6925 0.6868 0.1067
37 Ag 0.8075 0.3933 0.8132
38 Ag 0.8075 0.9142 0.9943
39 Ag 0.8132 0.5057 0.4199
40 Ag 0.8132 0.8075 0.3933
41 Ag 0.8933 0.0858 0.5801
42 Ag 0.8933 0.3075 0.3132
43 Ag 0.9142 0.4199 0.1067
44 Ag 0.9142 0.9943 0.8075
45 Ag 0.9199 0.0057 0.3132
46 Ag 0.9199 0.4142 0.6067
47 Ag 0.9943 0.6868 0.0801
48 Ag 0.9943 0.8075 0.9142
49 Cl 0.1250 0.2500 0.3750
50 Cl 0.1250 0.3750 0.7500
51 Cl 0.2500 0.3750 0.1250
52 Cl 0.2500 0.8750 0.6250
53 Cl 0.3750 0.1250 0.2500
54 Cl 0.3750 0.7500 0.1250
55 Cl 0.6250 0.2500 0.8750
56 Cl 0.6250 0.8750 0.7500
57 Cl 0.7500 0.1250 0.3750
58 Cl 0.7500 0.6250 0.8750
59 Cl 0.8750 0.6250 0.2500
60 Cl 0.8750 0.7500 0.6250
61 O 0.0000 0.0000 0.0000
62 O 0.0000 0.0000 0.5000
63 O 0.0000 0.5000 0.0000
64 O 0.0000 0.5000 0.5000
65 O 0.1250 0.7500 0.8750
66 O 0.1250 0.8750 0.2500
67 O 0.2500 0.1250 0.8750
68 O 0.2500 0.6250 0.3750
69 O 0.3750 0.2500 0.6250
70 O 0.3750 0.6250 0.7500
71 O 0.5000 0.0000 0.0000
72 O 0.5000 0.0000 0.5000
73 O 0.5000 0.5000 0.0000
74 O 0.5000 0.5000 0.5000
75 O 0.6250 0.3750 0.2500
76 O 0.6250 0.7500 0.3750
77 O 0.7500 0.3750 0.6250
78 O 0.7500 0.8750 0.1250
79 O 0.8750 0.1250 0.7500
80 O 0.8750 0.2500 0.1250

Output
- Total magnetic moment: 0.0 μB per formula unit
- Formation energy from raw total energies: -0.02 eV/atom
- ρ: 6.3 g cm⁻³



Density functional theory data (GGA-PBE) for an optimized crystal structure of Ag2ClO.

Cell: 3.7169 3.7169 6.8656 Å, 90.14 90.14 60.10°
Sites, in units of the cell vectors:
1 Ag 0.0000 0.0000 0.0000
2 Ag 0.6705 0.6705 0.3855
3 Cl 0.0041 0.0041 0.6049
4 O 0.6666 0.6666 0.0660

Output
- Total magnetic moment: 0.0 μB per formula unit
- Formation energy from raw total energies: -0.07 eV/atom
- ρ: 5.4 g cm⁻³
- Energy relative to the lowest polymorph listed for this composition: 38 meV per atom



Density functional theory data (GGA-PBE) for an optimized crystal structure of Ag2ClO.

Cell: 7.1101 7.1101 7.1101 Å, 136.66 136.66 62.96°
Sites, in units of the cell vectors:
1 Ag 0.0199 0.6250 0.8949
2 Ag 0.3750 0.2699 0.3949
3 Ag 0.7301 0.1250 0.1051
4 Ag 0.8750 0.9801 0.6051
5 Cl 0.2500 0.7500 0.5000
6 Cl 0.5000 0.5000 0.0000
7 O 0.0000 0.0000 0.0000
8 O 0.7500 0.2500 0.5000

Output
- Total magnetic moment: 0.0 μB per formula unit
- Formation energy from raw total energies: -0.11 eV/atom
- ρ: 5.3 g cm⁻³
- Energy relative to the lowest polymorph listed for this composition: 0 meV per atom



Question: Which of these has the highest total magnetic moment?
Answer: number 4



Question: Number 5 is which compound?
Answer: Ag4ClO